# 1
The following is a PBE calculation of a relaxed structure of NbTe4Pd, from the Alexandria database.

Lattice parameters (Å, degrees): 6.0577 6.7688 8.9544 112.86 110.49 88.20
Last column: nearest neighbours and their distance in Å.
Atoms (fractional coordinates):
Pd 0.9429 0.1929 0.3858  6 Te 2.75-2.79
Pd 0.0571 0.8071 0.6142  6 Te 2.75-2.79
Te 0.0011 0.2658 0.1155  2 Nb 2.76, 1 Pd 2.79
Te 0.6144 0.8497 0.1155  2 Nb 2.76, 1 Pd 2.79
Te 0.9989 0.7342 0.8845  2 Nb 2.76, 1 Pd 2.79
Te 0.3856 0.1503 0.8845  2 Nb 2.76, 1 Pd 2.79
Te 0.3458 0.4851 0.6073  2 Pd 2.75-2.77, 1 Nb 2.89
Te 0.6542 0.5149 0.3927  2 Pd 2.75-2.77, 1 Nb 2.89
Te 0.2385 0.8778 0.3927  2 Pd 2.75-2.77, 1 Nb 2.89
Te 0.7615 0.1222 0.6073  2 Pd 2.75-2.77, 1 Nb 2.89
Nb 0.7046 0.4546 0.9092  6 Te 2.76-2.89
Nb 0.2954 0.5454 0.0908  6 Te 2.76-2.89

Output
**ΔE_f (raw)**: -265 meV/atom

# 2
The following is a PBE calculation of a relaxed structure of KRbNa2Au, from the Alexandria database.

Lattice parameters (Å, degrees): 5.9664 5.9664 6.6118 90.00 90.00 90.00
Last column: nearest neighbours and their distance in Å.
Atoms (fractional coordinates):
K 0.5000 0.5000 0.5000  4 Rb 4.22, 8 Na 4.45
Na 0.0000 0.5000 0.0000  2 Au 2.98
Na 0.5000 0.0000 0.0000  2 Au 2.98
Au 0.0000 0.0000 0.0000  4 Na 2.98, 2 Rb 3.31
Rb 0.0000 0.0000 0.5000  2 Au 3.31

Output
**Energy of formation**: -0.0832 eV per atom

# 3
The following is a PBE calculation of a relaxed structure of CaMoN3, from the Alexandria database.

Lattice parameters (Å, degrees): 5.4915 3.6348 3.6348 107.66 89.13 90.87
Last column: nearest neighbours and their distance in Å.
Atoms (fractional coordinates):
N 0.4086 0.3931 0.3735  1 N 1.44
N 0.4086 0.7285 0.7090  1 N 1.44
N 0.9232 0.2476 0.8545  1 Mo 1.79
Mo 0.2483 0.2588 0.8432  1 N 1.79
Ca 0.7257 0.8664 0.2357  7 N 2.47-2.58

Output
**ΔE_f (raw)**: -436 meV/atom

# 4
The following is a PBE calculation of a relaxed structure of SmTmMgHg, from the Alexandria database.

Lattice parameters (Å, degrees): 3.7648 3.7648 7.5084 90.00 90.00 90.00
Last column: nearest neighbours and their distance in Å.
Atoms (fractional coordinates):
Sm 0.0000 0.0000 0.8585  4 Mg 3.32, 4 Hg 3.33, 1 Tm 3.70
Mg 0.5000 0.5000 0.5944  4 Tm 3.23, 4 Sm 3.32, 1 Hg 3.53
Hg 0.5000 0.5000 0.1244  4 Tm 3.16, 4 Sm 3.33, 1 Mg 3.53
Tm 0.0000 0.0000 0.3507  4 Hg 3.16, 4 Mg 3.23

Output
**Energy of formation**: -0.2726 eV per atom

# 5
The following is a PBE calculation of a relaxed structure of ErTmMnIr, from the Alexandria database.

Lattice parameters (Å, degrees): 4.8545 4.8545 4.8545 60.00 60.00 60.00
Last column: nearest neighbours and their distance in Å.
Atoms (fractional coordinates):
Er 0.0000 0.0000 0.0000  4 Mn 2.97, 4 Ir 2.97
Tm 0.5000 0.5000 0.5000  4 Mn 2.97, 4 Ir 2.97
Ir 0.2500 0.2500 0.2500  4 Er 2.97, 4 Tm 2.97
Mn 0.7500 0.7500 0.7500  4 Tm 2.97, 4 Er 2.97

Output
**Energy of formation**: -0.3668 eV per atom

# 6
The following is a PBE calculation of a relaxed structure of In2Bi2Pd7Pt, from the Alexandria database.

Lattice parameters (Å, degrees): 3.9337 3.9337 15.7189 81.05 81.05 89.44
Last column: nearest neighbours and their distance in Å.
Atoms (fractional coordinates):
Bi 0.7628 0.7628 0.3835  5 Pd 2.78-2.98
Bi 0.2372 0.2372 0.6165  5 Pd 2.78-2.98
Pd 0.0808 0.5812 0.8683  2 In 2.72, 6 Pd 2.77-2.82, 2 Pt 2.82
Pd 0.4188 0.9192 0.1317  2 In 2.72, 6 Pd 2.77-2.82, 2 Pt 2.82
Pd 0.5000 0.5000 0.0000  4 Pt 2.77-2.80, 8 Pd 2.82
Pd 0.7621 0.7621 0.5604  5 Bi 2.78-2.98, 1 In 2.84, 1 Pd 2.91
Pd 0.2379 0.2379 0.4396  5 Bi 2.78-2.98, 1 In 2.84, 1 Pd 2.91
Pd 0.5812 0.0808 0.8683  2 In 2.72, 6 Pd 2.77-2.82, 2 Pt 2.82
Pd 0.9192 0.4188 0.1317  2 In 2.72, 6 Pd 2.77-2.82, 2 Pt 2.82
Pt 0.0000 0.0000 0.0000  12 Pd 2.77-2.82
In 0.6564 0.6564 0.7453  5 Pd 2.72-2.84
In 0.3436 0.3436 0.2547  5 Pd 2.72-2.84

Output
**Energy of formation**: -0.1660 eV per atom